# 1
The following is a DFT calculation (PBE+U) of a relaxed structure of BaLa2Co3O9.

Summary:
- Polymorph energy (0 for the lowest one): 0.000 eV/atom
- Symmetry: P-1 (2)

a = 5.5394 Å, b = 5.5815 Å, c = 13.3976 Å
α = 89.94°, β = 88.92°, γ = 59.78°
Last column: nearest neighbours and their distance in Å.
Fractional coordinates of all 30 atoms:
Co: 0.3364 0.3311 0.4160  6 O 1.87-2.06
Co: 0.3283 0.3337 0.9160  6 O 1.91-1.99
Co: 0.6635 0.6689 0.0840  6 O 1.87-2.05
Co: 0.6717 0.6663 0.5840  6 O 1.91-1.99
Co: 0.0000 0.0000 0.7500  6 O 1.97-1.99
Co: 0.0000 0.0000 0.2500  6 O 1.96-1.97
Ba: 0.9922 0.0032 0.0014  12 O 2.68-2.90
Ba: 0.0077 0.9968 0.4986  12 O 2.68-2.90
O: 0.5046 0.4847 0.9945  2 Co 1.91-2.05
O: 0.4955 0.5152 0.5055  2 Co 1.91-2.06
O: 0.4698 0.0138 0.9990  2 Co 1.91-2.03
O: 0.5302 0.9861 0.5010  2 Co 1.91-2.03
O: 0.9803 0.5272 0.9999  2 Co 1.87-1.99
O: 0.0197 0.4729 0.5001  2 Co 1.87-1.99
O: 0.7710 0.8903 0.1739  2 Co 1.96-2.03
O: 0.8834 0.7764 0.6702  2 Co 1.97-1.99
O: 0.2289 0.1098 0.3261  2 Co 1.96-2.03
O: 0.1167 0.2234 0.8298  2 Co 1.97-1.99
O: 0.1163 0.6575 0.3239  2 Co 1.96-2.04
O: 0.2195 0.6529 0.8254  2 Co 1.98-1.99
O: 0.8838 0.3426 0.1761  2 Co 1.96-2.04
O: 0.7805 0.3471 0.6746  2 Co 1.98-1.99
O: 0.6557 0.2236 0.3301  2 Co 1.92-1.97
O: 0.6521 0.1165 0.8275  2 Co 1.96-1.97
O: 0.3443 0.7763 0.1699  2 Co 1.92-1.97
O: 0.3481 0.8834 0.6726  2 Co 1.96-1.97
La: 0.3305 0.3331 0.1697  6 O 2.45-2.70
La: 0.3395 0.3318 0.6681  8 O 2.48-2.75
La: 0.6695 0.6669 0.3303  6 O 2.45-2.70
La: 0.6606 0.6683 0.8319  8 O 2.48-2.75



# 2
The following is a DFT calculation (PBE+U) of a relaxed structure of BaLaCo2O5.

Summary:
- VASP energy: -60.12 eV for the cell shown
- Symmetry: Pmmm (47)

a = 3.9343 Å, b = 4.0105 Å, c = 7.8800 Å
α = 90.00°, β = 90.00°, γ = 90.00°
Last column: nearest neighbours and their distance in Å.
Fractional coordinates of all 9 atoms:
Ba: 0.5000 0.5000 0.0000  12 O 2.81-3.13
La: 0.5000 0.5000 0.5000  8 O 2.52
Co: 0.0000 0.0000 0.2538  5 O 2.00-2.04
Co: 0.0000 0.0000 0.7462  5 O 2.00-2.04
O: 0.5000 0.0000 0.3056  2 Co 2.01
O: 0.5000 0.0000 0.6944  2 Co 2.01
O: 0.0000 0.5000 0.3002  2 Co 2.04
O: 0.0000 0.5000 0.6998  2 Co 2.04
O: 0.0000 0.0000 0.0000  2 Co 2.00



# 3
The following is a DFT calculation (PBE+U) of a relaxed structure of BaLa3Co4O12.

Summary:
- VASP energy: -136.79 eV for the cell shown
- Symmetry: Im-3m (229)

a = 6.7715 Å, b = 6.7715 Å, c = 6.7715 Å
α = 109.47°, β = 109.47°, γ = 109.47°
Last column: nearest neighbours and their distance in Å.
Fractional coordinates of all 20 atoms:
Ba: 0.0000 0.0000 0.0000  12 O 2.86
La: 0.5000 0.0000 0.5000  12 O 2.67-2.77
La: 0.0000 0.5000 0.5000  12 O 2.67-2.77
La: 0.5000 0.5000 0.0000  12 O 2.67-2.77
Co: 0.0000 0.0000 0.5000  6 O 1.96
Co: 0.5000 0.0000 0.0000  6 O 1.96
Co: 0.5000 0.5000 0.5000  6 O 1.96
Co: 0.0000 0.5000 0.0000  6 O 1.96
O: 0.0000 0.2584 0.7416  2 Co 1.96
O: 0.5169 0.2584 0.2584  2 Co 1.96
O: 0.4831 0.7416 0.7416  2 Co 1.96
O: 0.0000 0.7416 0.2584  2 Co 1.96
O: 0.2584 0.5169 0.2584  2 Co 1.96
O: 0.7416 0.4831 0.7416  2 Co 1.96
O: 0.7416 0.0000 0.2584  2 Co 1.96
O: 0.2584 0.0000 0.7416  2 Co 1.96
O: 0.7416 0.2584 0.0000  2 Co 1.96
O: 0.2584 0.2584 0.5169  2 Co 1.96
O: 0.2584 0.7416 0.0000  2 Co 1.96
O: 0.7416 0.7416 0.4831  2 Co 1.96



# 4
The following is a DFT calculation (PBE+U) of a relaxed structure of BaLa8CoSi6O26.

Summary:
- VASP energy: -340.13 eV for the cell shown
- Symmetry: P3 (143)

a = 7.2062 Å, b = 9.7454 Å, c = 9.7454 Å
α = 120.00°, β = 90.00°, γ = 90.00°
Last column: nearest neighbours and their distance in Å.
Fractional coordinates of all 42 atoms:
Ba: 0.4246 0.6667 0.3333  6 O 2.62-2.74
La: 0.1831 0.7583 0.9889  5 O 2.31-2.58
La: 0.1831 0.0111 0.7694  5 O 2.31-2.58
La: 0.1831 0.2306 0.2417  5 O 2.31-2.58
La: 0.6867 0.2423 0.0165  4 O 2.32-2.49
La: 0.6867 0.9835 0.2258  4 O 2.32-2.49
La: 0.6867 0.7742 0.7577  4 O 2.32-2.49
La: 0.4464 0.3333 0.6667  9 O 2.59-2.72
La: 0.9305 0.6667 0.3333  6 O 2.43-2.55
Co: 0.9437 0.3333 0.6667  6 O 2.18-2.30
Si: 0.1709 0.9857 0.3786  4 O 1.64-1.67
Si: 0.1709 0.6214 0.6070  4 O 1.64-1.67
Si: 0.1709 0.3930 0.0143  4 O 1.64-1.67
Si: 0.7014 0.0380 0.6341  4 O 1.64-1.66
Si: 0.7014 0.3659 0.4040  4 O 1.64-1.66
Si: 0.7014 0.5960 0.9620  4 O 1.64-1.66
O: 0.4999 0.1062 0.7270  1 Si 1.66
O: 0.4999 0.2730 0.3792  1 Si 1.66
O: 0.4999 0.6208 0.8938  1 Si 1.66
O: 0.9997 0.9120 0.2499  1 Si 1.65
O: 0.9997 0.7501 0.6621  1 Si 1.65
O: 0.9997 0.3379 0.0880  1 Si 1.65
O: 0.1583 0.8942 0.4818  1 Si 1.65
O: 0.1583 0.5182 0.4124  1 Si 1.65
O: 0.1583 0.5876 0.1058  1 Si 1.65
O: 0.7461 0.1397 0.5452  1 Si 1.64
O: 0.7461 0.4548 0.5945  1 Si 1.64
O: 0.7461 0.4055 0.8603  1 Si 1.64
O: 0.1664 0.1802 0.4850  1 Si 1.64
O: 0.1664 0.5150 0.6952  1 Si 1.64
O: 0.1664 0.3048 0.8198  1 Si 1.64
O: 0.6964 0.8467 0.5109  1 Si 1.64
O: 0.6964 0.4891 0.3358  1 Si 1.64
O: 0.6964 0.6642 0.1533  1 Si 1.64
O: 0.3601 0.9280 0.2654  1 Si 1.67
O: 0.3601 0.7346 0.6626  1 Si 1.67
O: 0.3601 0.3374 0.0720  1 Si 1.67
O: 0.8480 0.0633 0.7749  1 Si 1.65
O: 0.8480 0.2251 0.2884  1 Si 1.65
O: 0.8480 0.7116 0.9367  1 Si 1.65
O: 0.1698 0.0000 0.0000  3 La 2.31
O: 0.6276 0.0000 0.0000  3 La 2.32



Computed values of density (unit: g/cm3) for the preceding records, in sequence: 6.8, 6.3, 6.8, 5.3.